5
Lattice="4.860 0.000 0.000 0.000 4.860 0.000 0.000 0.000 4.860" Properties=species:S:1:pos:R:3 comment="GGA-PBE Mo3AsAu, optimized geometry" energy_ev_per_atom=-5.841 pbc="T T T"
Mo 0.000 2.430 0.000
Mo 0.000 0.000 2.430
Mo 2.430 0.000 0.000
Au 0.000 0.000 0.000
As 2.430 2.430 2.430